Here is a relaxed Tb4Dy3Tl crystal from the Alexandria database. Energies are from PBE.

It has space group Pmn2_1 (No. 31), with a = 11.1953 Å, b = 7.0513 Å, c = 6.1846 Å, α = 90.00°, β = 90.00° and γ = 90.00°. Symmetry generates all atoms from Tb at (0.0000, 0.1276, 0.0000), Tb at (0.0000, 0.8690, 0.4654), Tb at (0.2364, 0.8725, 0.8232), Dy at (0.0000, 0.3690, 0.4690), Dy at (0.2425, 0.3838, 0.8041) and Tl at (0.0000, 0.6199, 0.9826).

The value obtained for the energy above the most stable polymorph in this dataset is 0.0 meV/atom. The formation enthalpy at 0 K is -0.068 eV per atom. The calculated volume comes out at 488 Å³/cell.



Here is a relaxed NdPaRe crystal from the Alexandria database. Energies are from PBE.

It has space group I4mm (No. 107), with a = 3.5274 Å, b = 3.5274 Å, c = 11.5067 Å, α = 90.00°, β = 90.00° and γ = 90.00°. Symmetry generates all atoms from Nd at (0.0000, 0.0000, 0.0000), Pa at (0.0000, 0.0000, 0.6993) and Re at (0.0000, 0.0000, 0.3132).

The value obtained for the energy above the most stable polymorph in this dataset is 0.0 meV/atom. The formation enthalpy at 0 K is 0.087 eV per atom. The calculated volume comes out at 143 Å³/cell.



Here is a relaxed Mg3Mo crystal from the Alexandria database. Energies are from PBE.

It has space group P4/mmm (No. 123), with a = 2.8696 Å, b = 2.8696 Å, c = 9.3770 Å, α = 90.00°, β = 90.00° and γ = 90.00°. Symmetry generates all atoms from Mg at (0.0000, 0.0000, 0.0000), Mg at (0.5000, 0.5000, 0.2714) and Mo at (0.0000, 0.0000, 0.5000).

The value obtained for the energy above the most stable polymorph in this dataset is 25.9 meV/atom. The formation enthalpy at 0 K is 0.223 eV per atom. The calculated volume comes out at 77 Å³/cell.



Here is a relaxed Tl3Bi5Br12 crystal from the Alexandria database. Energies are from PBE.

It has space group Ia-3d (No. 230), with a = 19.1264 Å, b = 19.1264 Å, c = 19.1264 Å, α = 90.00°, β = 90.00° and γ = 90.00°. Symmetry generates all atoms from Tl at (0.0000, 0.2500, 0.1250), Bi at (0.0000, 0.0000, 0.0000), Bi at (0.0000, 0.2500, 0.3750) and Br at (0.0273, 0.0532, 0.6455).

The value obtained for the formation energy without anion corrections is -391 meV/atom. The calculated volume comes out at 6997 Å³/cell.



Here is a relaxed LiPmNCl crystal from the Alexandria database. Energies are from PBE.

It has space group Cm (No. 8), with a = 6.4843 Å, b = 3.7446 Å, c = 6.8022 Å, α = 90.00°, β = 108.46° and γ = 90.00°. Symmetry generates all atoms from Li at (0.0000, 0.0000, 0.0000), Pm at (0.0274, 0.5000, 0.5811), N at (0.3998, 0.5000, 0.6988) and Cl at (0.2302, 0.5000, 0.1915).

The value obtained for the formation energy without anion corrections is -1440 meV/atom. The calculated volume comes out at 157 Å³/cell.



Here is a relaxed LiSn2BCl crystal from the Alexandria database. Energies are from PBE.

It has space group P4/mmm (No. 123), with a = 5.1817 Å, b = 5.1817 Å, c = 3.9169 Å, α = 90.00°, β = 90.00° and γ = 90.00°. Symmetry generates all atoms from Li at (0.0000, 0.0000, 0.0000), Sn at (0.0000, 0.5000, 0.0000), B at (0.0000, 0.0000, 0.5000) and Cl at (0.5000, 0.5000, 0.5000).

The value obtained for the formation energy without anion corrections is 636 meV/atom. The calculated volume comes out at 105 Å³/cell.



Here is a relaxed CaTbPt crystal from the Alexandria database. Energies are from PBE.

It has space group F-43m (No. 216), with a = 6.9255 Å, b = 6.9255 Å, c = 6.9255 Å, α = 90.00°, β = 90.00° and γ = 90.00°. Symmetry generates all atoms from Ca at (0.0000, 0.0000, 0.0000), Tb at (0.0000, 0.0000, 0.5000) and Pt at (0.2500, 0.2500, 0.7500).

The value obtained for the energy above the most stable polymorph in this dataset is 46.6 meV/atom. The formation enthalpy at 0 K is -0.774 eV per atom. The calculated volume comes out at 332 Å³/cell.



Here is a relaxed K3Ag crystal from the Alexandria database. Energies are from PBE.

It has space group Immm (No. 71), with a = 4.2971 Å, b = 5.9774 Å, c = 16.3696 Å, α = 90.00°, β = 90.00° and γ = 90.00°. Symmetry generates all atoms from K at (0.0000, 0.0000, 0.0000), K at (0.0000, 0.5000, 0.1716) and Ag at (0.0000, 0.0000, 0.5000).

The value obtained for the energy above the most stable polymorph in this dataset is 29.1 meV/atom. The formation enthalpy at 0 K is 0.057 eV per atom. The calculated volume comes out at 420 Å³/cell.



Copy entry 7 word for word.
Here is a relaxed CaTbPt crystal from the Alexandria database. Energies are from PBE.

It has space group F-43m (No. 216), with a = 6.9255 Å, b = 6.9255 Å, c = 6.9255 Å, α = 90.00°, β = 90.00° and γ = 90.00°. Symmetry generates all atoms from Ca at (0.0000, 0.0000, 0.0000), Tb at (0.0000, 0.0000, 0.5000) and Pt at (0.2500, 0.2500, 0.7500).

The value obtained for the energy above the most stable polymorph in this dataset is 46.6 meV/atom. The formation enthalpy at 0 K is -0.774 eV per atom. The calculated volume comes out at 332 Å³/cell.



Which of these has the lowest calculated volume? Mg3Mo